w | Here is crystalline Ta2AsF at its relaxed geometry from the Alexandria database. Energies are from PBE.

Cell: 4.399 4.399 4.399 Å, 60.00 60.00 60.00°
Fractional coordinates of all 4 atoms:
Ta  0.250  0.250  0.250
Ta  0.750  0.750  0.750
As  0.000  0.000  0.000
F  0.500  0.500  0.500

Summary:
Crystal system ... cubic
Symmetry ... Fm-3m (225)

***

x | Here is crystalline Ta2AsF at its relaxed geometry from the Alexandria database. Energies are from PBE.

Cell: 5.483 5.483 5.483 Å, 105.62 105.62 117.49°
Fractional coordinates of all 8 atoms:
Ta  0.062  0.125  0.437
Ta  0.375  0.938  0.063
Ta  0.688  0.625  0.563
Ta  0.875  0.312  0.937
As  0.250  0.750  0.500
As  0.500  0.500  0.000
F  0.000  0.000  0.000
F  0.750  0.250  0.500

Summary:
Crystal system ... tetragonal
Symmetry ... I-42d (122)

***

Stability order, top to bottom: w, x

***

w | Here is crystalline TaAs2F at its relaxed geometry from the Alexandria database. Energies are from PBE.

Cell: 4.509 4.509 4.509 Å, 60.00 60.00 60.00°
Fractional coordinates of all 4 atoms:
Ta  0.000  0.000  0.000
As  0.250  0.250  0.250
As  0.750  0.750  0.750
F  0.500  0.500  0.500

Summary:
Crystal system ... cubic
Symmetry ... Fm-3m (225)

***

x | Here is crystalline TaAs2F at its relaxed geometry from the Alexandria database. Energies are from PBE.

Cell: 7.021 7.021 7.021 Å, 132.32 132.32 69.72°
Fractional coordinates of all 8 atoms:
Ta  0.000  0.000  0.000
Ta  0.750  0.250  0.500
As  0.127  0.625  0.002
As  0.375  0.377  0.502
As  0.623  0.125  0.998
As  0.875  0.873  0.498
F  0.250  0.750  0.500
F  0.500  0.500  0.000

Summary:
Crystal system ... tetragonal
Symmetry ... I-42d (122)

***

Stability order, top to bottom: w, x

***

w | Here is crystalline TcAsF3 at its relaxed geometry from the Alexandria database. Energies are from PBE.

Cell: 4.159 4.159 4.159 Å, 90.00 90.00 90.00°
Fractional coordinates of all 5 atoms:
Tc  0.000  0.000  0.000
As  0.500  0.500  0.500
F  0.000  0.000  0.500
F  0.000  0.500  0.000
F  0.500  0.000  0.000

Summary:
Crystal system ... cubic
Symmetry ... Pm-3m (221)

***

x | Here is crystalline TcAsF3 at its relaxed geometry from the Alexandria database. Energies are from PBE.

Cell: 4.383 4.383 4.383 Å, 90.00 90.00 90.00°
Fractional coordinates of all 5 atoms:
Tc  0.000  0.000  0.000
As  0.500  0.500  0.500
F  0.000  0.500  0.500
F  0.500  0.000  0.500
F  0.500  0.500  0.000

Summary:
Crystal system ... cubic
Symmetry ... Pm-3m (221)

***

Stability order, top to bottom: w, x

***

w | Here is crystalline TeAsF2 at its relaxed geometry from the Alexandria database. Energies are from PBE.

Cell: 8.673 8.673 8.673 Å, 152.79 152.79 38.86°
Fractional coordinates of all 8 atoms:
Te  0.000  0.000  0.000
Te  0.750  0.250  0.500
As  0.250  0.750  0.500
As  0.500  0.500  0.000
F  0.128  0.625  0.003
F  0.375  0.378  0.503
F  0.622  0.125  0.997
F  0.875  0.872  0.497

Summary:
Crystal system ... tetragonal
Symmetry ... I-42d (122)

***

x | Here is crystalline TeAsF2 at its relaxed geometry from the Alexandria database. Energies are from PBE.

Cell: 4.465 4.465 4.465 Å, 60.00 60.00 60.00°
Fractional coordinates of all 4 atoms:
Te  0.000  0.000  0.000
As  0.500  0.500  0.500
F  0.250  0.250  0.250
F  0.750  0.750  0.750

Summary:
Crystal system ... cubic
Symmetry ... Fm-3m (225)

***

Stability order, top to bottom: w, x

***

w | Here is crystalline TeAsF2 at its relaxed geometry from the Alexandria database. Energies are from PBE.

Cell: 9.329 9.329 9.329 Å, 19.10 19.10 19.10°
Fractional coordinates of all 4 atoms:
Te  0.000  0.000  0.000
As  0.500  0.500  0.500
F  0.431  0.431  0.431
F  0.569  0.569  0.569

Summary:
Crystal system ... trigonal
Symmetry ... R-3m (166)

***

x | Here is crystalline TeAsF2 at its relaxed geometry from the Alexandria database. Energies are from PBE.

Cell: 9.124 9.124 9.124 Å, 19.90 19.90 19.90°
Fractional coordinates of all 4 atoms:
Te  0.000  0.000  0.000
As  0.500  0.500  0.500
F  0.077  0.077  0.077
F  0.923  0.923  0.923

Summary:
Crystal system ... trigonal
Symmetry ... R-3m (166)

***

Stability order, top to bottom: w, x

***

w | Here is crystalline Te3AsF at its relaxed geometry from the Alexandria database. Energies are from PBE.

Cell: 5.346 5.346 5.346 Å, 90.00 90.00 90.00°
Fractional coordinates of all 5 atoms:
Te  0.000  0.000  0.500
Te  0.000  0.500  0.000
Te  0.500  0.000  0.000
As  0.000  0.000  0.000
F  0.500  0.500  0.500

Summary:
Crystal system ... cubic
Symmetry ... Pm-3m (221)

***

x | Here is crystalline Te3AsF at its relaxed geometry from the Alexandria database. Energies are from PBE.

Cell: 4.946 4.946 4.946 Å, 90.00 90.00 90.00°
Fractional coordinates of all 5 atoms:
Te  0.000  0.000  0.500
Te  0.000  0.500  0.000
Te  0.500  0.000  0.000
As  0.500  0.500  0.500
F  0.000  0.000  0.000

Summary:
Crystal system ... cubic
Symmetry ... Pm-3m (221)

***

Stability order, top to bottom: x, w